(1)
PBE Mn2Sn, relaxed; total magnetic moment = 6.2 μB/f.u.; formation energy from the elements = 0.17 eV per atom
1.0
-4.361 -1.018 -0.491
2.599 -2.478 2.720
-1.247 3.312 4.210
Mn Sn
4 2
direct
0.000 0.000 0.500 Mn
0.667 0.333 0.250 Mn
0.000 0.000 0.000 Mn
0.333 0.667 0.750 Mn
0.667 0.333 0.750 Sn
0.333 0.667 0.250 Sn

(2)
PBE MnSn4, relaxed; total magnetic moment = 2.9 μB/f.u.; formation energy from the elements = 0.23 eV per atom
1.0
5.095 0.000 0.000
0.000 5.095 0.000
0.000 0.000 5.095
Sn Mn
4 1
direct
0.500 0.500 0.000 Sn
0.000 0.000 0.000 Sn
0.500 0.000 0.500 Sn
0.000 0.500 0.500 Sn
0.500 0.500 0.500 Mn

(3)
PBE Mn5Sn, relaxed; total magnetic moment = 2.9 μB/f.u.; formation energy from the elements = 0.10 eV per atom
1.0
3.879 0.000 0.000
0.000 3.908 0.000
0.000 -1.954 5.112
Mn Sn
5 1
direct
0.000 0.685 0.369 Mn
0.000 0.315 0.631 Mn
0.500 0.815 0.630 Mn
0.500 0.185 0.370 Mn
0.500 0.500 0.000 Mn
0.000 0.000 0.000 Sn

(4)
PBE Mn2Sn, relaxed; total magnetic moment = 4.0 μB/f.u.; formation energy from the elements = 0.29 eV per atom
1.0
-3.529 -0.668 -3.555
0.888 -3.100 -3.891
-2.451 -4.407 -0.330
Mn Sn
4 2
direct
0.625 0.125 0.625 Mn
0.625 0.625 0.125 Mn
0.625 0.625 0.625 Mn
0.125 0.625 0.625 Mn
0.000 0.000 0.000 Sn
0.250 0.250 0.250 Sn

(5)
PBE MnSn5, relaxed; total magnetic moment = 3.4 μB/f.u.; formation energy from the elements = 0.15 eV per atom
1.0
-0.662 2.485 3.773
0.064 -2.770 1.835
10.409 2.399 0.247
Sn Mn
5 1
direct
0.000 0.385 0.771 Sn
0.500 0.500 0.000 Sn
0.000 0.615 0.229 Sn
0.500 0.815 0.629 Sn
0.500 0.185 0.371 Sn
0.000 0.000 0.000 Mn

(6)
PBE Mn3Sn2, relaxed; total magnetic moment = 7.8 μB/f.u.; formation energy from the elements = 0.08 eV per atom
1.0
-1.806 0.020 -5.092
-4.427 -5.807 1.547
-6.168 5.291 2.209
Mn Sn
12 8
direct
0.250 0.406 0.883 Mn
0.007 0.233 0.627 Mn
0.993 0.267 0.127 Mn
0.993 0.767 0.373 Mn
0.750 0.094 0.383 Mn
0.493 0.733 0.873 Mn
0.493 0.233 0.627 Mn
0.250 0.906 0.617 Mn
0.507 0.267 0.127 Mn
0.007 0.733 0.873 Mn
0.750 0.594 0.117 Mn
0.507 0.767 0.373 Mn
0.250 0.099 0.355 Sn
0.750 0.401 0.855 Sn
0.750 0.442 0.403 Sn
0.750 0.942 0.097 Sn
0.250 0.058 0.903 Sn
0.250 0.558 0.597 Sn
0.750 0.901 0.645 Sn
0.250 0.599 0.145 Sn

(7)
PBE SrMnSn2, relaxed; total magnetic moment = 4.0 μB/f.u.; formation energy from the elements = 0.03 eV per atom
1.0
5.415 0.000 0.000
0.000 5.415 0.000
2.707 2.707 9.024
Sn Mn Sr
4 2 2
direct
0.375 0.506 0.750 Sn
0.875 0.744 0.750 Sn
0.256 0.625 0.250 Sn
0.494 0.125 0.250 Sn
0.500 0.500 0.000 Mn
0.250 0.750 0.500 Mn
0.750 0.250 0.500 Sr
0.000 0.000 0.000 Sr

(8)
PBE Sr3MnSn, relaxed; total magnetic moment = 3.2 μB/f.u.; formation energy from the elements = 0.36 eV per atom
1.0
-1.566 3.690 -3.864
-2.289 -4.102 -2.990
-4.828 0.747 2.671
Sr Mn Sn
3 1 1
direct
0.500 0.000 0.000 Sr
0.000 0.000 0.500 Sr
0.000 0.500 0.000 Sr
0.000 0.000 0.000 Mn
0.500 0.500 0.500 Sn

(9)
PBE SrMn2Sn2, relaxed; total magnetic moment = 7.2 μB/f.u.; formation energy from the elements = -0.12 eV per atom
1.0
-2.620 -0.482 3.710
-2.594 -3.030 -2.225
0.888 -6.142 2.641
Sn Sr Mn
2 1 2
direct
0.628 0.628 0.744 Sn
0.372 0.372 0.256 Sn
0.000 0.000 0.000 Sr
0.750 0.250 0.500 Mn
0.250 0.750 0.500 Mn

(10)
PBE SrMnSn2, relaxed; total magnetic moment = 3.1 μB/f.u.; formation energy from the elements = -0.24 eV per atom
1.0
-2.488 -3.443 1.497
-0.691 -3.589 -2.630
4.054 -5.029 1.944
Mn Sr Sn
1 1 2
direct
0.000 0.000 0.000 Mn
0.500 0.500 0.500 Sr
0.718 0.718 0.845 Sn
0.282 0.282 0.155 Sn

Q: What is the formula in the eighth record?
A: Sr3MnSn

Q: Look up the total magnetic moment of the fourth one.
A: 4.0 μB/f.u.

Q: What is the formula in the second record?
A: MnSn4